A plane-wave DFT calculation with GGA+U was carried out for a geometry-optimized Fe8H10O17 structure.

Cell: 6.0482 10.2126 10.7804 Å, 92.02 90.22 89.30°
Positions (direct):
H 0.5647 0.7371 0.4109
H 0.7716 0.2101 0.8835
H 0.7164 0.9865 0.8508
H 0.0037 0.4803 0.3288
H 0.9646 0.0259 0.4100
H 0.8164 0.6276 0.3456
H 0.8594 0.7166 0.4643
H 0.2295 0.1978 0.8740
H 0.9821 0.4331 0.5706
H 0.1432 0.9486 0.0992
H 0.9800 0.6437 0.6447
H 0.2637 0.3562 0.4353
H 0.5101 0.5032 0.3075
H 0.7090 0.9336 0.4610
H 0.4220 0.0587 0.0351
H 0.5139 0.9100 0.9935
H 0.5253 0.6439 0.6438
H 0.5062 0.4379 0.5833
H 0.9981 0.9223 0.9879
H 0.2551 0.7794 0.5067
O 0.2470 0.2705 0.8186
O 0.9971 0.7593 0.9492
O 0.8838 0.6260 0.4295
O 0.2388 0.8751 0.5185
O 0.5572 0.0068 0.0193
O 0.4999 0.1061 0.6244
O 0.4391 0.7204 0.3556
O 0.2439 0.5294 0.8348
O 0.7790 0.2054 0.1906
O 0.2434 0.8334 0.1704
O 0.9896 0.7209 0.6996
O 0.2694 0.2195 0.1988
O 0.5467 0.0194 0.3152
O 0.0041 0.1039 0.6191
O 0.0295 0.9993 0.0471
O 0.7609 0.5869 0.1566
O 0.5120 0.3790 0.0283
O 0.7619 0.8215 0.1771
O 0.5016 0.3671 0.6409
O 0.9965 0.3682 0.6342
O 0.0320 0.0289 0.3275
O 0.7680 0.2414 0.4289
O 0.7427 0.9232 0.7819
O 0.4987 0.7615 0.9546
O 0.7555 0.5290 0.8363
O 0.5116 0.4163 0.2659
O 0.2546 0.5886 0.1364
O 0.5018 0.7183 0.7009
O 0.2455 0.9168 0.7729
O 0.7413 0.8743 0.5294
O 0.0114 0.4083 0.2667
O 0.7605 0.2735 0.8181
O 0.0090 0.3791 0.0306
O 0.2560 0.2609 0.4391
Fe 0.7687 0.0081 0.1771
Fe 0.5048 0.7054 0.1446
Fe 0.0038 0.7043 0.1276
Fe 0.7468 0.7173 0.8448
Fe 0.0197 0.2248 0.3104
Fe 0.5202 0.2188 0.3158
Fe 0.0017 0.4091 0.8496
Fe 0.9993 0.9201 0.6573
Fe 0.4877 0.9201 0.6562
Fe 0.7516 0.2267 0.6082
Fe 0.2483 0.7236 0.8400
Fe 0.7633 0.4000 0.1403
Fe 0.2495 0.2261 0.6299
Fe 0.2609 0.4018 0.1404
Fe 0.5022 0.4131 0.8575
Fe 0.3092 0.9029 0.3303

Values from the calculation:
calculated volume: 9.51 Å³/atom
SG: P1, No. 1
relative energy among the computed polymorphs: 0 meV per atom